## Ac2ErSi2 (PBE)

Data for Ac2ErSi2 after structural relaxation.

As for the volume: 29.23 A^3/atom. The final energy comes out at -5.275 eV per atom. Its energy relative to the elements, uncorrected is -0.549 eV per atom.

The structure belongs to space group Immm (No. 71); the cell edges are 4.456, 6.371 and 10.298 Å and the angles 90.00°, 90.00° and 90.00°. The inequivalent atoms are Ac at (0.000, 0.000, 0.204), Er at (0.000, 0.500, 0.000) and Si at (0.000, 0.303, 0.500).

---

## Cs3K8Cd2 (PBE)

Data for Cs3K8Cd2 after structural relaxation.

As for the volume: 71.38 A^3/atom. The final energy comes out at -1.014 eV per atom. Its formation energy is -1 meV/atom.

The structure belongs to space group P2/m (No. 10); the cell edges are 11.263, 5.281 and 16.090 Å and the angles 90.00°, 104.16° and 90.00°. The inequivalent atoms are Cs at (0.000, 0.000, 0.000), Cs at (0.385, 0.500, 0.106), K at (0.061, 0.500, 0.263), K at (0.212, 0.500, 0.555), K at (0.256, 0.000, 0.788), K at (0.377, 0.000, 0.371) and Cd at (0.024, 0.000, 0.414).

---

> Among the records above, which one has the lowest final energy?

Ac2ErSi2

---

Repeat the first record exactly.
## Ac2ErSi2 (PBE)

Data for Ac2ErSi2 after structural relaxation.

As for the volume: 29.23 A^3/atom. The final energy comes out at -5.275 eV per atom. Its energy relative to the elements, uncorrected is -0.549 eV per atom.

The structure belongs to space group Immm (No. 71); the cell edges are 4.456, 6.371 and 10.298 Å and the angles 90.00°, 90.00° and 90.00°. The inequivalent atoms are Ac at (0.000, 0.000, 0.204), Er at (0.000, 0.500, 0.000) and Si at (0.000, 0.303, 0.500).

---

> Which of these has the highest final energy?

Cs3K8Cd2

---

> The highest final energy belongs to which entry?

Cs3K8Cd2